Record 1
Below is PmDySbAu after structural relaxation, with properties calculated at the PBE level.

a b c (Å): 5.2761 5.2761 5.2761
angles (deg): 60.00 60.00 60.00
Element x y z (fractional)
Pm (0.0000, 0.0000, 0.0000)
Dy (0.5000, 0.5000, 0.5000)
Sb (0.2500, 0.2500, 0.2500)
Au (0.7500, 0.7500, 0.7500)

Values from the calculation:
E_form (uncorrected), eV per atom: -0.779
Space group: F-43m, No. 216
N(E_F), states/eV/cell: 4.69
Uncorrected energy, eV/f.u.: -19.87

Record 2
Below is Ho4ErAu5 after structural relaxation, with properties calculated at the PBE level.

a b c (Å): 3.5525 3.5525 18.1741
angles (deg): 90.00 90.00 90.00
Element x y z (fractional)
Ho (0.0000, 0.0000, 0.1001)
Ho (0.0000, 0.0000, 0.3004)
Ho (0.0000, 0.0000, 0.6996)
Ho (0.0000, 0.0000, 0.8999)
Er (0.0000, 0.0000, 0.5000)
Au (0.5000, 0.5000, 0.0000)
Au (0.5000, 0.5000, 0.2003)
Au (0.5000, 0.5000, 0.4010)
Au (0.5000, 0.5000, 0.5990)
Au (0.5000, 0.5000, 0.7997)

Values from the calculation:
Energy of formation, meV per atom: -876
Space group: P4/mmm, No. 123
N(E_F), states/eV/cell: 4.04
Uncorrected energy, eV/f.u.: -48.02

Record 3
Below is Cs2CdBi4 after structural relaxation, with properties calculated at the PBE level.

a b c (Å): 10.5060 10.5060 10.5060
angles (deg): 147.18 147.18 47.10
Element x y z (fractional)
Cs (0.1455, 0.1455, 0.0000)
Cs (0.8545, 0.8545, 0.0000)
Cd (0.5000, 0.5000, 0.0000)
Bi (0.0000, 0.5000, 0.5000)
Bi (0.3580, 0.3580, 0.0000)
Bi (0.5000, 0.0000, 0.5000)
Bi (0.6420, 0.6420, 0.0000)

Values from the calculation:
Energy of formation, meV per atom: 130
Space group: I4/mmm, No. 139
N(E_F), states/eV/cell: 4.84
Uncorrected energy, eV/f.u.: -17.24

Record 4
Below is Ac6RhO12 after structural relaxation, with properties calculated at the PBE level.

a b c (Å): 7.0480 7.0480 7.0480
angles (deg): 98.35 98.35 98.35
Element x y z (fractional)
Ac (0.1055, 0.7990, 0.6428)
Ac (0.2010, 0.3572, 0.8945)
Ac (0.3572, 0.8945, 0.2010)
Ac (0.6428, 0.1055, 0.7990)
Ac (0.7990, 0.6428, 0.1055)
Ac (0.8945, 0.2010, 0.3572)
Rh (0.5000, 0.5000, 0.5000)
O (0.0530, 0.9056, 0.3224)
O (0.0944, 0.6776, 0.9470)
O (0.2194, 0.4367, 0.5304)
O (0.3224, 0.0530, 0.9056)
O (0.4367, 0.5304, 0.2194)
O (0.4696, 0.7806, 0.5633)
O (0.5304, 0.2194, 0.4367)
O (0.5633, 0.4696, 0.7806)
O (0.6776, 0.9470, 0.0944)
O (0.7806, 0.5633, 0.4696)
O (0.9056, 0.3224, 0.0530)
O (0.9470, 0.0944, 0.6776)

Values from the calculation:
E_form (uncorrected), eV per atom: -2.757
Space group: R-3, No. 148
N(E_F), states/eV/cell: 0.90
Uncorrected energy, eV/f.u.: -143.88

Record 5
Below is ZnGe2W2 after structural relaxation, with properties calculated at the PBE level.

a b c (Å): 6.9784 6.9784 3.3470
angles (deg): 90.00 90.00 90.00
Element x y z (fractional)
Zn (0.0000, 0.0000, 0.0000)
Zn (0.5000, 0.5000, 0.0000)
Ge (0.1510, 0.3490, 0.5000)
Ge (0.3490, 0.8490, 0.5000)
Ge (0.6510, 0.1510, 0.5000)
Ge (0.8490, 0.6510, 0.5000)
W (0.1434, 0.6434, 0.0000)
W (0.3566, 0.1434, 0.0000)
W (0.6434, 0.8566, 0.0000)
W (0.8566, 0.3566, 0.0000)

Values from the calculation:
Energy of formation, meV per atom: 270
Space group: P4/mbm, No. 127
N(E_F), states/eV/cell: 3.83
Uncorrected energy, eV/f.u.: -35.06

Record 6
Below is Th3Cd9Ag2 after structural relaxation, with properties calculated at the PBE level.

a b c (Å): 8.8263 8.8263 8.8263
angles (deg): 147.74 110.77 78.45
Element x y z (fractional)
Th (0.0000, 0.0000, 0.0000)
Th (0.2889, 0.2889, 0.0000)
Th (0.7111, 0.7111, 0.0000)
Cd (0.0061, 0.6448, 0.3613)
Cd (0.1398, 0.8566, 0.2832)
Cd (0.2835, 0.6448, 0.6387)
Cd (0.4267, 0.1434, 0.2832)
Cd (0.5000, 0.0000, 0.5000)
Cd (0.5733, 0.8566, 0.7168)
Cd (0.7165, 0.3552, 0.3613)
Cd (0.8602, 0.1434, 0.7168)
Cd (0.9939, 0.3552, 0.6387)
Ag (0.3442, 0.5000, 0.8442)
Ag (0.6558, 0.5000, 0.1558)

Values from the calculation:
Energy of formation, meV per atom: -123
Space group: Immm, No. 71
N(E_F), states/eV/cell: 10.21
Uncorrected energy, eV/f.u.: -37.91

Record 7
Below is SrMnHg2Pt after structural relaxation, with properties calculated at the PBE level.

a b c (Å): 5.8358 5.8358 5.9243
angles (deg): 90.00 90.00 90.00
Element x y z (fractional)
Sr (0.0000, 0.0000, 0.0000)
Mn (0.0000, 0.0000, 0.5000)
Hg (0.0000, 0.5000, 0.0000)
Hg (0.5000, 0.0000, 0.0000)
Pt (0.5000, 0.5000, 0.5000)

Values from the calculation:
Energy of formation, meV per atom: 1404
Space group: P4/mmm, No. 123
N(E_F), states/eV/cell: 2.35
Uncorrected energy, eV/f.u.: -10.48

Record 8
Below is BeHgSb2 after structural relaxation, with properties calculated at the PBE level.

a b c (Å): 3.3186 3.4589 8.7379
angles (deg): 90.00 90.00 90.00
Element x y z (fractional)
Be (0.0000, 0.0000, 0.0000)
Hg (0.0000, 0.0000, 0.5000)
Sb (0.5000, 0.5000, 0.1662)
Sb (0.5000, 0.5000, 0.8338)

Values from the calculation:
E_form (uncorrected), eV per atom: 0.306
Space group: Pmmm, No. 47
Energy above the most stable polymorph in this dataset, eV per atom: 0.119
N(E_F), states/eV/cell: 1.08
Uncorrected energy, eV/f.u.: -11.05

Record 9
Below is Cu2PAu after structural relaxation, with properties calculated at the PBE level.

a b c (Å): 4.4797 4.4797 2.9801
angles (deg): 90.00 90.00 106.66
Element x y z (fractional)
Cu (0.0000, 0.5000, 0.0000)
Cu (0.5000, 0.0000, 0.0000)
P (0.0000, 0.0000, 0.5000)
Au (0.5000, 0.5000, 0.5000)

Values from the calculation:
Energy of formation, meV per atom: 146
Space group: Cmmm, No. 65
N(E_F), states/eV/cell: 0.60
Uncorrected energy, eV/f.u.: -16.30

> What is the N(E_F) in the fourth record?

0.90 states/eV/cell

> Number 4 is which compound?

Ac6RhO12